(A)
! Ir7Os2Ru2 PBE optimized geometry; values from VASP
! Density in g/cm3: 18.78
! DOS(E_F) in states/eV/atom: 1.111
! Magnetization in μB per cell: 0.00
! Space group: C2/m (12)
&SYSTEM
  ibrav = 0, nat = 11, ntyp = 3
/
ATOMIC_SPECIES
Ir 192.22 Ir.upf
Os 190.23 Os.upf
Ru 101.07 Ru.upf
CELL_PARAMETERS angstrom
4.732 -0.076 -0.109
-0.674 5.854 1.523
-0.674 -0.630 6.016
ATOMIC_POSITIONS crystal
Ir 0.244 0.053 0.410
Ir 0.756 0.590 0.947
Ir 0.756 0.947 0.590
Ir 0.244 0.410 0.053
Ir 0.000 0.000 0.000
Ir 0.767 0.536 0.536
Ir 0.233 0.464 0.464
Os 0.500 0.172 0.828
Os 0.500 0.828 0.172
Ru 0.752 0.237 0.237
Ru 0.248 0.763 0.763


(B)
! Ir7Os2Ru2 PBE optimized geometry; values from VASP
! Density in g/cm3: 19.52
! DOS(E_F) in states/eV/atom: 1.109
! Magnetization in μB per cell: 0.00
! Space group: C2/m (12)
&SYSTEM
  ibrav = 0, nat = 11, ntyp = 3
/
ATOMIC_SPECIES
Ir 192.22 Ir.upf
Os 190.23 Os.upf
Ru 101.07 Ru.upf
CELL_PARAMETERS angstrom
5.037 0.492 -0.349
-0.615 5.024 -0.349
-0.277 -0.346 6.448
ATOMIC_POSITIONS crystal
Ir 0.918 0.533 0.693
Ir 0.467 0.082 0.307
Ir 0.082 0.467 0.307
Ir 0.533 0.918 0.693
Ir 0.000 0.000 0.500
Ir 0.832 0.832 0.069
Ir 0.168 0.168 0.931
Os 0.313 0.687 0.000
Os 0.687 0.313 0.000
Ru 0.404 0.404 0.655
Ru 0.596 0.596 0.345


Which is the most stable structure? (B) is the most stable.


(A)
! Ir4Os2Ru3 PBE optimized geometry; values from VASP
! Density in g/cm3: 18.79
! DOS(E_F) in states/eV/atom: 0.947
! Magnetization in μB per cell: 0.00
! Space group: C2/m (12)
&SYSTEM
  ibrav = 0, nat = 9, ntyp = 3
/
ATOMIC_SPECIES
Ir 192.22 Ir.upf
Os 190.23 Os.upf
Ru 101.07 Ru.upf
CELL_PARAMETERS angstrom
3.853 0.000 0.000
0.000 6.061 0.507
-1.927 -2.282 5.306
ATOMIC_POSITIONS crystal
Ir 0.553 0.329 0.107
Ir 0.778 0.670 0.555
Ir 0.447 0.671 0.893
Ir 0.222 0.330 0.445
Os 0.332 0.000 0.664
Os 0.668 0.000 0.336
Ru 0.889 0.329 0.777
Ru 0.111 0.671 0.223
Ru 0.000 0.000 0.000


(B)
! Ir4Os2Ru3 PBE optimized geometry; values from VASP
! Density in g/cm3: 18.80
! DOS(E_F) in states/eV/atom: 0.887
! Magnetization in μB per cell: 0.00
! Space group: P-1 (2)
&SYSTEM
  ibrav = 0, nat = 18, ntyp = 3
/
ATOMIC_SPECIES
Ir 192.22 Ir.upf
Os 190.23 Os.upf
Ru 101.07 Ru.upf
CELL_PARAMETERS angstrom
4.678 -0.373 0.809
0.066 6.485 2.657
0.917 -0.577 8.403
ATOMIC_POSITIONS crystal
Ir 0.502 0.087 0.829
Ir 0.944 0.195 0.944
Ir 0.498 0.913 0.171
Ir 0.056 0.805 0.056
Ir 0.613 0.860 0.610
Ir 0.832 0.415 0.170
Ir 0.387 0.140 0.390
Ir 0.168 0.585 0.830
Os 0.164 0.749 0.501
Os 0.276 0.527 0.278
Os 0.836 0.251 0.499
Os 0.724 0.473 0.722
Ru 0.055 0.974 0.722
Ru 0.390 0.308 0.053
Ru 0.945 0.026 0.278
Ru 0.610 0.692 0.947
Ru 0.278 0.365 0.608
Ru 0.722 0.635 0.392


Which is the most stable structure? (B) is the most stable.


(A)
! Ir3OsRu2 PBE optimized geometry; values from VASP
! Density in g/cm3: 17.76
! DOS(E_F) in states/eV/atom: 0.935
! Magnetization in μB per cell: 0.00
! Space group: C2/c (15)
&SYSTEM
  ibrav = 0, nat = 12, ntyp = 3
/
ATOMIC_SPECIES
Ir 192.22 Ir.upf
Os 190.23 Os.upf
Ru 101.07 Ru.upf
CELL_PARAMETERS angstrom
0.639 -4.218 -1.141
6.835 -0.886 -0.176
2.579 -3.092 5.597
ATOMIC_POSITIONS crystal
Ir 0.750 0.208 0.792
Ir 0.078 0.192 0.409
Ir 0.578 0.409 0.192
Ir 0.422 0.591 0.808
Ir 0.922 0.808 0.591
Ir 0.250 0.792 0.208
Os 0.250 0.417 0.583
Os 0.750 0.583 0.417
Ru 0.153 0.232 0.009
Ru 0.653 0.009 0.232
Ru 0.847 0.768 0.991
Ru 0.347 0.991 0.768


(B)
! Ir3OsRu2 PBE optimized geometry; values from VASP
! Density in g/cm3: 18.79
! DOS(E_F) in states/eV/atom: 0.920
! Magnetization in μB per cell: 0.00
! Space group: P2_1/m (11)
&SYSTEM
  ibrav = 0, nat = 12, ntyp = 3
/
ATOMIC_SPECIES
Ir 192.22 Ir.upf
Os 190.23 Os.upf
Ru 101.07 Ru.upf
CELL_PARAMETERS angstrom
-2.921 1.566 -1.959
2.187 -1.743 -4.655
-4.200 -7.001 0.666
ATOMIC_POSITIONS crystal
Ir 0.750 0.124 0.583
Ir 0.250 0.876 0.417
Ir 0.750 0.625 0.253
Ir 0.250 0.375 0.747
Ir 0.250 0.372 0.088
Ir 0.750 0.628 0.912
Os 0.250 0.874 0.753
Os 0.750 0.126 0.247
Ru 0.250 0.374 0.414
Ru 0.750 0.626 0.586
Ru 0.750 0.122 0.920
Ru 0.250 0.878 0.080


Which is the most stable structure? (B) is the most stable.


(A)
! Ir2Os3Ru PBE optimized geometry; values from VASP
! Density in g/cm3: 20.44
! DOS(E_F) in states/eV/atom: 0.795
! Magnetization in μB per cell: 0.00
! Space group: P2/m (10)
&SYSTEM
  ibrav = 0, nat = 12, ntyp = 3
/
ATOMIC_SPECIES
Ir 192.22 Ir.upf
Os 190.23 Os.upf
Ru 101.07 Ru.upf
CELL_PARAMETERS angstrom
-1.357 -1.484 5.045
1.444 -4.414 -0.910
4.680 6.022 3.030
ATOMIC_POSITIONS crystal
Ir 0.250 0.663 0.331
Ir 0.750 0.663 0.331
Ir 0.750 0.337 0.669
Ir 0.250 0.337 0.669
Os 0.000 0.836 0.669
Os 0.500 0.836 0.669
Os 0.000 0.500 0.000
Os 0.500 0.500 0.000
Os 0.500 0.164 0.331
Os 0.000 0.164 0.331
Ru 0.750 0.000 0.000
Ru 0.250 0.000 0.000


(B)
! Ir2Os3Ru PBE optimized geometry; values from VASP
! Density in g/cm3: 19.66
! DOS(E_F) in states/eV/atom: 1.253
! Magnetization in μB per cell: 0.00
! Space group: Cmmm (65)
&SYSTEM
  ibrav = 0, nat = 12, ntyp = 3
/
ATOMIC_SPECIES
Ir 192.22 Ir.upf
Os 190.23 Os.upf
Ru 101.07 Ru.upf
CELL_PARAMETERS angstrom
-3.812 3.798 -0.825
-2.264 -2.841 -2.620
-2.558 -1.016 7.140
ATOMIC_POSITIONS crystal
Ir 0.750 0.689 0.378
Ir 0.250 0.311 0.622
Ir 0.250 0.689 0.378
Ir 0.750 0.311 0.622
Os 0.000 0.149 0.297
Os 0.500 0.851 0.703
Os 0.000 0.500 0.000
Os 0.500 0.500 0.000
Os 0.000 0.851 0.703
Os 0.500 0.149 0.297
Ru 0.250 0.000 0.000
Ru 0.750 0.000 0.000


Which is the most stable structure? (A) is the most stable.


(A)
! Ir4OsRu2 PBE optimized geometry; values from VASP
! Density in g/cm3: 16.52
! DOS(E_F) in states/eV/atom: 1.454
! Magnetization in μB per cell: 0.00
! Space group: Cmmm (65)
&SYSTEM
  ibrav = 0, nat = 7, ntyp = 3
/
ATOMIC_SPECIES
Ir 192.22 Ir.upf
Os 190.23 Os.upf
Ru 101.07 Ru.upf
CELL_PARAMETERS angstrom
4.589 0.000 0.000
0.000 5.012 0.000
0.000 -2.506 5.077
ATOMIC_POSITIONS crystal
Ir 0.500 0.117 0.235
Ir 0.000 0.220 0.439
Ir 0.500 0.883 0.765
Ir 0.000 0.780 0.561
Os 0.000 0.500 0.000
Ru 0.500 0.378 0.755
Ru 0.500 0.622 0.245


(B)
! Ir4OsRu2 PBE optimized geometry; values from VASP
! Density in g/cm3: 17.98
! DOS(E_F) in states/eV/atom: 1.240
! Magnetization in μB per cell: 0.00
! Space group: Pbam (55)
&SYSTEM
  ibrav = 0, nat = 14, ntyp = 3
/
ATOMIC_SPECIES
Ir 192.22 Ir.upf
Os 190.23 Os.upf
Ru 101.07 Ru.upf
CELL_PARAMETERS angstrom
4.319 0.000 0.000
0.000 4.697 0.000
0.000 0.000 10.574
ATOMIC_POSITIONS crystal
Ir 0.000 0.551 0.687
Ir 0.000 0.449 0.313
Ir 0.000 0.051 0.813
Ir 0.000 0.949 0.187
Ir 0.500 0.717 0.568
Ir 0.500 0.283 0.432
Ir 0.500 0.783 0.068
Ir 0.500 0.217 0.932
Os 0.000 0.000 0.500
Os 0.000 0.500 0.000
Ru 0.500 0.726 0.823
Ru 0.500 0.274 0.177
Ru 0.500 0.226 0.677
Ru 0.500 0.774 0.323


Which is the most stable structure? (B) is the most stable.


(A)
! IrOs2Ru2 PBE optimized geometry; values from VASP
! Density in g/cm3: 18.13
! DOS(E_F) in states/eV/atom: 0.844
! Magnetization in μB per cell: 0.00
! Space group: P2_1/c (14)
&SYSTEM
  ibrav = 0, nat = 20, ntyp = 3
/
ATOMIC_SPECIES
Ir 192.22 Ir.upf
Os 190.23 Os.upf
Ru 101.07 Ru.upf
CELL_PARAMETERS angstrom
-4.521 7.800 -0.030
-2.445 -1.435 -4.643
-1.410 -7.417 3.034
ATOMIC_POSITIONS crystal
Ir 0.849 0.373 0.299
Ir 0.151 0.627 0.701
Ir 0.349 0.127 0.299
Ir 0.651 0.873 0.701
Os 0.550 0.125 0.901
Os 0.050 0.375 0.901
Os 0.950 0.625 0.099
Os 0.450 0.875 0.099
Os 0.349 0.625 0.299
Os 0.849 0.875 0.299
Os 0.151 0.125 0.701
Os 0.651 0.375 0.701
Ru 0.949 0.125 0.098
Ru 0.449 0.375 0.098
Ru 0.551 0.625 0.902
Ru 0.051 0.875 0.902
Ru 0.251 0.375 0.501
Ru 0.751 0.125 0.501
Ru 0.249 0.875 0.499
Ru 0.749 0.625 0.499


(B)
! IrOs2Ru2 PBE optimized geometry; values from VASP
! Density in g/cm3: 16.14
! DOS(E_F) in states/eV/atom: 1.479
! Magnetization in μB per cell: 0.00
! Space group: I4/mmm (139)
&SYSTEM
  ibrav = 0, nat = 5, ntyp = 3
/
ATOMIC_SPECIES
Ru 101.07 Ru.upf
Ir 192.22 Ir.upf
Os 190.23 Os.upf
CELL_PARAMETERS angstrom
3.688 0.000 0.000
0.000 3.688 0.000
1.844 1.844 5.863
ATOMIC_POSITIONS crystal
Ru 0.750 0.250 0.500
Ru 0.250 0.750 0.500
Ir 0.000 0.000 0.000
Os 0.399 0.399 0.202
Os 0.601 0.601 0.798


Which is the most stable structure? (A) is the most stable.


(A)
! Ir3Os2Ru3 PBE optimized geometry; values from VASP
! Density in g/cm3: 17.72
! DOS(E_F) in states/eV/atom: 1.142
! Magnetization in μB per cell: 0.00
! Space group: R32 (155)
&SYSTEM
  ibrav = 0, nat = 8, ntyp = 3
/
ATOMIC_SPECIES
Ir 192.22 Ir.upf
Os 190.23 Os.upf
Ru 101.07 Ru.upf
CELL_PARAMETERS angstrom
4.908 0.087 -0.092
0.092 4.908 -0.092
-0.087 -0.087 4.908
ATOMIC_POSITIONS crystal
Ir 0.266 0.734 0.500
Ir 0.500 0.266 0.266
Ir 0.734 0.500 0.734
Os 0.249 0.249 0.751
Os 0.751 0.751 0.249
Ru 0.232 0.768 0.000
Ru 0.000 0.232 0.232
Ru 0.768 0.000 0.768


(B)
! Ir3Os2Ru3 PBE optimized geometry; values from VASP
! Density in g/cm3: 18.38
! DOS(E_F) in states/eV/atom: 0.996
! Magnetization in μB per cell: 0.00
! Space group: Immm (71)
&SYSTEM
  ibrav = 0, nat = 8, ntyp = 3
/
ATOMIC_SPECIES
Ir 192.22 Ir.upf
Os 190.23 Os.upf
Ru 101.07 Ru.upf
CELL_PARAMETERS angstrom
3.852 0.000 0.000
0.000 3.846 -0.145
-1.926 -1.635 7.746
ATOMIC_POSITIONS crystal
Ir 0.875 0.375 0.750
Ir 0.125 0.625 0.250
Ir 0.000 0.000 0.000
Os 0.751 0.751 0.501
Os 0.249 0.249 0.499
Ru 0.374 0.874 0.748
Ru 0.500 0.500 0.000
Ru 0.626 0.126 0.252


Which is the most stable structure? (B) is the most stable.


(A)
! Ir4Os2Ru PBE optimized geometry; values from VASP
! Density in g/cm3: 19.22
! DOS(E_F) in states/eV/atom: 1.320
! Magnetization in μB per cell: 0.00
! Space group: Pbam (55)
&SYSTEM
  ibrav = 0, nat = 14, ntyp = 3
/
ATOMIC_SPECIES
Ir 192.22 Ir.upf
Os 190.23 Os.upf
Ru 101.07 Ru.upf
CELL_PARAMETERS angstrom
4.336 0.000 0.000
0.000 4.701 0.000
0.000 0.000 10.602
ATOMIC_POSITIONS crystal
Ir 0.000 0.543 0.685
Ir 0.000 0.457 0.315
Ir 0.000 0.043 0.815
Ir 0.000 0.957 0.185
Ir 0.500 0.719 0.568
Ir 0.500 0.281 0.432
Ir 0.500 0.781 0.068
Ir 0.500 0.219 0.932
Os 0.500 0.725 0.822
Os 0.500 0.275 0.178
Os 0.500 0.225 0.678
Os 0.500 0.775 0.322
Ru 0.000 0.000 0.500
Ru 0.000 0.500 0.000


(B)
! Ir4Os2Ru PBE optimized geometry; values from VASP
! Density in g/cm3: 18.92
! DOS(E_F) in states/eV/atom: 1.099
! Magnetization in μB per cell: 0.00
! Space group: I-42d (122)
&SYSTEM
  ibrav = 0, nat = 14, ntyp = 3
/
ATOMIC_SPECIES
Ir 192.22 Ir.upf
Os 190.23 Os.upf
Ru 101.07 Ru.upf
CELL_PARAMETERS angstrom
6.582 0.001 -0.001
-2.192 6.206 0.001
-2.198 -3.102 5.373
ATOMIC_POSITIONS crystal
Ir 0.131 0.929 0.379
Ir 0.621 0.752 0.550
Ir 0.952 0.571 0.700
Ir 0.300 0.252 0.871
Ir 0.619 0.748 0.048
Ir 0.798 0.248 0.869
Ir 0.450 0.071 0.202
Ir 0.129 0.429 0.381
Os 0.875 0.122 0.497
Os 0.503 0.378 0.625
Os 0.375 0.878 0.753
Os 0.247 0.622 0.125
Ru 0.000 0.000 0.000
Ru 0.750 0.500 0.250


Which is the most stable structure? (A) is the most stable.


(A)
! Ir3OsRu3 PBE optimized geometry; values from VASP
! Density in g/cm3: 15.94
! DOS(E_F) in states/eV/atom: 1.052
! Magnetization in μB per cell: 0.00
! Space group: P2_1/c (14)
&SYSTEM
  ibrav = 0, nat = 28, ntyp = 3
/
ATOMIC_SPECIES
Ir 192.22 Ir.upf
Os 190.23 Os.upf
Ru 101.07 Ru.upf
CELL_PARAMETERS angstrom
-3.449 1.047 5.844
4.413 -5.024 3.504
8.301 3.076 4.348
ATOMIC_POSITIONS crystal
Ir 0.723 0.942 0.824
Ir 0.777 0.942 0.324
Ir 0.315 0.741 0.652
Ir 0.788 0.574 0.580
Ir 0.185 0.741 0.152
Ir 0.712 0.574 0.080
Ir 0.288 0.426 0.920
Ir 0.815 0.259 0.848
Ir 0.212 0.426 0.420
Ir 0.685 0.259 0.348
Ir 0.223 0.058 0.676
Ir 0.277 0.058 0.176
Os 0.394 0.761 0.927
Os 0.106 0.761 0.427
Os 0.894 0.239 0.573
Os 0.606 0.239 0.073
Ru 0.928 0.859 0.628
Ru 0.572 0.859 0.128
Ru 0.027 0.693 0.918
Ru 0.473 0.693 0.418
Ru 0.645 0.609 0.804
Ru 0.855 0.609 0.304
Ru 0.145 0.391 0.696
Ru 0.355 0.391 0.196
Ru 0.527 0.307 0.582
Ru 0.973 0.307 0.082
Ru 0.428 0.141 0.872
Ru 0.072 0.141 0.372


(B)
! Ir3OsRu3 PBE optimized geometry; values from VASP
! Density in g/cm3: 16.28
! DOS(E_F) in states/eV/atom: 0.835
! Magnetization in μB per cell: 0.00
! Space group: R-3 (148)
&SYSTEM
  ibrav = 0, nat = 14, ntyp = 3
/
ATOMIC_SPECIES
Ir 192.22 Ir.upf
Os 190.23 Os.upf
Ru 101.07 Ru.upf
CELL_PARAMETERS angstrom
7.054 0.000 0.000
3.527 6.109 0.000
3.527 2.036 5.066
ATOMIC_POSITIONS crystal
Ir 0.500 0.698 0.676
Ir 0.698 0.126 0.676
Ir 0.126 0.500 0.676
Ir 0.874 0.500 0.324
Ir 0.302 0.874 0.324
Ir 0.500 0.302 0.324
Os 0.320 0.320 0.041
Os 0.680 0.680 0.959
Ru 0.188 0.683 0.179
Ru 0.951 0.188 0.179
Ru 0.683 0.951 0.179
Ru 0.317 0.049 0.821
Ru 0.049 0.812 0.821
Ru 0.812 0.317 0.821


Which is the most stable structure? (B) is the most stable.